Entry from OQMD via LeMat-Bulk: a geometry-optimized KSmAgSe3 structure (GGA-PBE).

The calculation puts the volume at 172.6 Å³/f.u. The value obtained for the total energy is -4.2981 eV/atom. Its total moment is 0.005 μB/atom.

It has space group Cmcm (No. 63), with a = 4.1985 Å, b = 14.9784 Å, c = 10.9781 Å, α = 90.00°, β = 90.00° and γ = 90.00°. The distinct sites, in fractional coordinates, are K at (0.0000, 0.2493, 0.2500), Sm at (0.0000, 0.0000, 0.0000), Ag at (0.0000, 0.4661, 0.7500), Se at (0.0000, 0.0754, 0.7500) and Se at (0.0000, 0.3681, 0.5534).